# NaCa5ScZn5Si12O36, single point on PBEsol structure, DFT meta-GGA SCAN
data_NaCa5ScZn5Si12O36
_space_group_name_H-M_alt 'C 1 2 1'
_space_group_IT_number 5
_cell_length_a 9.842
_cell_length_b 8.942
_cell_length_c 15.837
_cell_angle_alpha 90.00
_cell_angle_beta 106.00
_cell_angle_gamma 90.00
loop_
_space_group_symop_operation_xyz
'x,y,z'
'-x,y,-z'
'x+1/2,y+1/2,z'
'-x+1/2,y+1/2,-z'
loop_
_atom_site_label
_atom_site_fract_x
_atom_site_fract_y
_atom_site_fract_z
Na1 0.000 0.000 0.000
Ca1 0.000 0.595 0.500
Ca2 0.000 0.997 0.335
Ca3 0.005 0.600 0.829
Sc1 0.000 0.387 0.000
Zn1 0.000 0.194 0.167
Zn2 0.000 0.203 0.500
Zn3 0.001 0.389 0.667
Si1 0.210 0.707 0.007
Si2 0.212 0.889 0.838
Si3 0.213 0.891 0.172
Si4 0.214 0.702 0.672
Si5 0.214 0.704 0.340
Si6 0.214 0.890 0.507
O1 0.115 0.207 0.299
O2 0.115 0.383 0.799
O3 0.115 0.386 0.464
O4 0.116 0.207 0.631
O5 0.117 0.390 0.132
O6 0.119 0.214 0.964
O7 0.135 0.547 0.977
O8 0.138 0.046 0.807
O9 0.138 0.547 0.309
O10 0.139 0.545 0.642
O11 0.140 0.048 0.476
O12 0.147 0.053 0.145
O13 0.148 0.776 0.086
O14 0.149 0.778 0.750
O15 0.149 0.779 0.418
O16 0.149 0.814 0.584
O17 0.149 0.816 0.251
O18 0.150 0.810 0.915
# E (eV/cell): -1309.8
# Formation energy from raw total energies (eV per atom): -2.9343
# Size of the total moment (μB/f.u.): 0.0
# Volume (Å³/cell): 1340
# N(E_F) (states/eV per cell): 0.00